[1]
Below is a geometry-optimized Ac2SmAuO6 structure, with properties calculated at the GGA-PBE level.

Lattice parameters (Å, degrees): 6.059 5.533 5.533 90.00 90.00 90.00
Atoms (fractional coordinates):
O (0.165, 0.500, 0.500)
O (0.730, 0.254, 0.254)
O (0.130, 0.000, 0.000)
O (0.730, 0.746, 0.746)
O (0.730, 0.746, 0.254)
O (0.730, 0.254, 0.746)
Ac (0.005, 0.000, 0.500)
Ac (0.005, 0.500, 0.000)
Sm (0.538, 0.500, 0.500)
Au (0.685, 0.000, 0.000)

Computed properties:
space-group type	P4mm, No. 99
ρ	8.031	g/cm3
total DFT energy (no corrections)	-6.94	eV/atom
energy relative to the elements, uncorrected	-2.35	eV per atom



[2]
Below is a geometry-optimized NaPm6Ge5 structure, with properties calculated at the GGA-PBE level.

Lattice parameters (Å, degrees): 7.212 7.672 7.656 59.93 79.91 69.53
Atoms (fractional coordinates):
Ge (0.500, 0.500, 0.000)
Ge (0.500, 0.150, 0.701)
Ge (0.000, 0.669, 0.661)
Ge (0.500, 0.850, 0.299)
Ge (0.000, 0.331, 0.339)
Pm (0.729, 0.456, 0.634)
Pm (0.259, 0.276, 0.000)
Pm (0.271, 0.544, 0.366)
Pm (0.271, 0.910, 0.634)
Pm (0.729, 0.090, 0.366)
Pm (0.741, 0.724, 0.000)
Na (0.000, 0.000, 0.000)

Computed properties:
space-group type	C2/m, No. 12
ρ	6.074	g/cm3
DOS(E_F)	8.98	states/eV/cell
ΔE_f	-0.54	eV per atom
total DFT energy (no corrections)	-4.95	eV/atom



[3]
Below is a geometry-optimized K2NpSe4 structure, with properties calculated at the GGA-PBE level.

Lattice parameters (Å, degrees): 4.232 8.588 7.521 115.56 90.00 90.00
Atoms (fractional coordinates):
K (0.500, 0.401, 0.800)
K (0.500, 0.742, 0.343)
Se (0.000, 0.741, 0.980)
Se (0.500, 0.126, 0.328)
Se (0.000, 0.401, 0.163)
Se (0.500, 0.017, 0.815)
Np (0.000, 0.071, 0.071)

Computed properties:
space-group type	P2/m, No. 10
ρ	4.249	g/cm3
DOS(E_F)	7.47	states/eV/cell
total DFT energy (no corrections)	-5.11	eV/atom
energy relative to the elements, uncorrected	-0.96	eV per atom



[4]
Below is a geometry-optimized Na3CeSc2Se6 structure, with properties calculated at the GGA-PBE level.

Lattice parameters (Å, degrees): 7.040 7.040 7.360 99.23 99.23 120.04
Atoms (fractional coordinates):
Se (0.723, 0.723, 0.224)
Se (0.277, 0.277, 0.776)
Se (0.427, 0.075, 0.223)
Se (0.573, 0.925, 0.777)
Se (0.925, 0.573, 0.777)
Se (0.075, 0.427, 0.223)
Ce (0.000, 0.000, 0.000)
Sc (0.333, 0.667, 0.000)
Sc (0.667, 0.333, 0.000)
Na (0.163, 0.837, 0.500)
Na (0.837, 0.163, 0.500)
Na (0.500, 0.500, 0.500)

Computed properties:
space-group type	C2/m, No. 12
ρ	4.291	g/cm3
DOS(E_F)	5.78	states/eV/cell
total DFT energy (no corrections)	-5.20	eV/atom
energy relative to the elements, uncorrected	-1.58	eV per atom



[5]
Below is a geometry-optimized Re2RuSe structure, with properties calculated at the GGA-PBE level.

Lattice parameters (Å, degrees): 8.595 8.595 8.595 19.17 19.17 19.17
Atoms (fractional coordinates):
Se (0.750, 0.750, 0.750)
Ru (0.250, 0.250, 0.250)
Re (0.001, 0.001, 0.001)
Re (0.499, 0.499, 0.499)

Computed properties:
space-group type	R-3m, No. 166
ρ	15.329	g/cm3
DOS(E_F)	3.27	states/eV/cell
total DFT energy (no corrections)	-9.05	eV/atom
energy relative to the elements, uncorrected	0.36	eV per atom



[6]
Below is a geometry-optimized ScTcP2 structure, with properties calculated at the GGA-PBE level.

Lattice parameters (Å, degrees): 3.273 3.273 5.671 90.00 90.00 90.00
Atoms (fractional coordinates):
Sc (0.000, 0.000, 0.459)
Tc (0.500, 0.500, 0.813)
P (0.000, 0.000, 0.972)
P (0.500, 0.500, 0.257)

Computed properties:
space-group type	P4mm, No. 99
ρ	5.601	g/cm3
DOS(E_F)	2.63	states/eV/cell
ΔE_f	-0.58	eV per atom
total DFT energy (no corrections)	-7.46	eV/atom



[7]
Below is a geometry-optimized Sm4Sn6O19 structure, with properties calculated at the GGA-PBE level.

Lattice parameters (Å, degrees): 8.164 8.164 8.164 109.47 109.47 109.47
Atoms (fractional coordinates):
Sn (0.500, 0.834, 0.334)
Sn (0.666, 0.500, 0.166)
Sn (0.834, 0.334, 0.500)
Sn (0.166, 0.666, 0.500)
Sn (0.334, 0.500, 0.834)
Sn (0.500, 0.166, 0.666)
O (0.364, 0.328, 0.606)
O (0.000, 0.347, 0.347)
O (0.653, 0.000, 0.653)
O (0.347, 0.347, 0.000)
O (0.672, 0.036, 0.279)
O (0.000, 0.000, 0.000)
O (0.036, 0.279, 0.672)
O (0.242, 0.964, 0.636)
O (0.606, 0.364, 0.328)
O (0.347, 0.000, 0.347)
O (0.394, 0.721, 0.758)
O (0.000, 0.653, 0.653)
O (0.328, 0.606, 0.364)
O (0.758, 0.394, 0.721)
O (0.653, 0.653, 0.000)
O (0.636, 0.242, 0.964)
O (0.279, 0.672, 0.036)
O (0.964, 0.636, 0.242)
O (0.721, 0.758, 0.394)
Sm (0.000, 0.707, 0.000)
Sm (0.000, 0.000, 0.707)
Sm (0.293, 0.293, 0.293)
Sm (0.707, 0.000, 0.000)

Computed properties:
space-group type	I23, No. 197
ρ	6.414	g/cm3
DOS(E_F)	19.15	states/eV/cell
total DFT energy (no corrections)	-6.81	eV/atom
energy relative to the elements, uncorrected	-2.08	eV per atom



[8]
Below is a geometry-optimized NaLuGaSn structure, with properties calculated at the GGA-PBE level.

Lattice parameters (Å, degrees): 5.133 5.133 5.133 60.00 60.00 60.00
Atoms (fractional coordinates):
Ga (0.750, 0.750, 0.750)
Sn (0.250, 0.250, 0.250)
Lu (0.500, 0.500, 0.500)
Na (0.000, 0.000, 0.000)

Computed properties:
space-group type	F-43m, No. 216
ρ	6.708	g/cm3
DOS(E_F)	2.68	states/eV/cell
ΔE_f	-0.27	eV per atom
total DFT energy (no corrections)	-3.49	eV/atom



[9]
Below is a geometry-optimized Li2NbC2 structure, with properties calculated at the GGA-PBE level.

Lattice parameters (Å, degrees): 6.126 6.126 2.491 90.00 90.00 90.00
Atoms (fractional coordinates):
C (0.812, 0.312, 0.500)
C (0.688, 0.812, 0.500)
C (0.188, 0.688, 0.500)
C (0.312, 0.188, 0.500)
Li (0.392, 0.892, 0.000)
Li (0.108, 0.392, 0.000)
Li (0.892, 0.608, 0.000)
Li (0.608, 0.108, 0.000)
Nb (0.500, 0.500, 0.000)
Nb (0.000, 0.000, 0.000)

Computed properties:
space-group type	P4/mbm, No. 127
ρ	4.649	g/cm3
DOS(E_F)	2.63	states/eV/cell
ΔE_f	0.90	eV per atom
total DFT energy (no corrections)	-5.57	eV/atom



[10]
Below is a geometry-optimized K2BaReO5 structure, with properties calculated at the GGA-PBE level.

Lattice parameters (Å, degrees): 3.898 6.034 7.323 114.33 105.44 90.00
Atoms (fractional coordinates):
O (0.394, 0.664, 0.787)
O (0.606, 0.876, 0.213)
O (0.394, 0.124, 0.787)
O (0.000, 0.000, 0.000)
O (0.606, 0.336, 0.213)
K (0.221, 0.221, 0.441)
K (0.779, 0.779, 0.559)
Ba (0.000, 0.500, 0.000)
Re (0.500, 0.000, 0.000)

Computed properties:
space-group type	Immm, No. 71
ρ	5.329	g/cm3
DOS(E_F)	1.63	states/eV/cell
total DFT energy (no corrections)	-6.54	eV/atom
energy relative to the elements, uncorrected	-1.94	eV per atom